1.
Tl2HOs | PBE-GGA | optimized geometry

a = 5.3482 Å, b = 5.3482 Å, c = 7.3201 Å
α = 68.57°, β = 68.57°, γ = 90.00°
Site moments in Bohr magnetons follow the coordinates.
Element x y z (fractional)
H 0.5000 0.5000 0.0000  0.01
H 0.2500 0.7500 0.5000  0.01
Tl 0.5581 0.1250 0.2500  0.00
Tl 0.1919 0.6250 0.2500  0.00
Tl 0.3750 0.4419 0.7500  0.01
Tl 0.8750 0.8081 0.7500  0.00
Os 0.0000 0.0000 0.0000  0.74
Os 0.7500 0.2500 0.5000  0.71

Its space group is No. 122. Its crystal system is tetragonal. The value obtained for the energy is -3.46 eV per atom.


2.
Mg2Sn3Pd8 | PBE-GGA | optimized geometry

a = 5.3918 Å, b = 5.3918 Å, c = 10.1161 Å
α = 74.54°, β = 74.54°, γ = 60.00°
Element x y z (fractional)
Mg 0.6299 0.6299 0.1103
Mg 0.3701 0.3701 0.8897
Sn 0.0000 0.0000 0.0000
Sn 0.8086 0.8086 0.5742
Sn 0.1914 0.1914 0.4258
Pd 0.7178 0.7178 0.8467
Pd 0.2822 0.2822 0.1533
Pd 0.2219 0.7228 0.3325
Pd 0.7228 0.2219 0.3325
Pd 0.7228 0.7228 0.3325
Pd 0.2772 0.7781 0.6675
Pd 0.7781 0.2772 0.6675
Pd 0.2772 0.2772 0.6675

Its space group is No. 166. Its crystal system is trigonal. The value obtained for the energy is -4.66 eV per atom. The formation energy is -0.296 eV/atom.


3.
CrReOs2 | PBE-GGA | optimized geometry

a = 8.9531 Å, b = 8.9531 Å, c = 8.9531 Å
α = 17.42°, β = 17.42°, γ = 17.42°
Element x y z (fractional)
Cr 0.7500 0.7500 0.7500
Os 0.0032 0.0032 0.0032
Os 0.4968 0.4968 0.4968
Re 0.2500 0.2500 0.2500

Its space group is No. 166. Its crystal system is trigonal. The value obtained for the energy is -11.01 eV per atom. The formation energy is 0.119 eV/atom.


4.
KZrPb2 | PBE-GGA | optimized geometry

a = 5.7381 Å, b = 5.7381 Å, c = 5.7381 Å
α = 128.52°, β = 128.30°, γ = 75.96°
Site moments in Bohr magnetons follow the coordinates.
Element x y z (fractional)
K 0.2500 0.7500 0.5000  0.02
Pb 0.9996 0.9996 0.0000  -0.01
Pb 0.5004 0.5004 0.0000  -0.01
Zr 0.7500 0.2500 0.5000  0.55

Its space group is No. 71. Its crystal system is orthorhombic. The value obtained for the energy is -4.04 eV per atom. The formation energy is 0.226 eV/atom.


5.
LaCuI6 | PBE-GGA | optimized geometry

a = 9.8921 Å, b = 10.7275 Å, c = 7.8373 Å
α = 57.67°, β = 57.26°, γ = 34.18°
Element x y z (fractional)
La 0.5000 0.5000 0.5000
Cu 0.0000 0.0000 0.0000
I 0.1175 0.5175 0.6868
I 0.7819 0.0455 0.8551
I 0.5989 0.2328 0.2875
I 0.2181 0.9545 0.1449
I 0.8825 0.4825 0.3132
I 0.4011 0.7672 0.7125

Its space group is No. 2. Its crystal system is triclinic. The value obtained for the energy is -2.96 eV per atom. The calculation puts the raw formation energy at -0.672 eV per atom.


6.
Cu2Au | PBE-GGA | optimized geometry

a = 4.9580 Å, b = 4.9580 Å, c = 7.8740 Å
α = 90.00°, β = 90.00°, γ = 120.00°
Element x y z (fractional)
Au 0.3333 0.6667 0.0612
Au 0.3333 0.6667 0.4388
Au 0.6667 0.3333 0.5612
Au 0.6667 0.3333 0.9388
Cu 0.0000 0.0000 0.0000
Cu 0.0000 0.0000 0.5000
Cu 0.1692 0.3384 0.7500
Cu 0.1692 0.8308 0.7500
Cu 0.3384 0.1692 0.2500
Cu 0.6616 0.8308 0.7500
Cu 0.8308 0.1692 0.2500
Cu 0.8308 0.6616 0.2500

Its space group is No. 194. Its crystal system is hexagonal. The value obtained for the energy is -3.82 eV per atom. The formation energy is 0.006 eV/atom.